Density functional theory data (PBE) for crystalline Th6Co2OsCl3 at its relaxed geometry.

Properties
**Density of states at the Fermi level**: 0.46 states/eV/atom
**Formation energy from raw total energies**: -0.832 eV per atom

Cell: 4.269 8.912 9.572 Å, 110.93 102.89 90.00°
Element x y z (fractional)
1 Th 0.682 0.546 0.363
2 Th 0.983 0.777 0.966
3 Th 0.658 0.123 0.315
4 Os 0.500 0.000 0.000
5 Th 0.318 0.454 0.637
6 Th 0.342 0.877 0.685
7 Co 0.169 0.335 0.338
8 Cl 0.500 0.500 0.000
9 Co 0.831 0.665 0.662
10 Cl 0.167 0.832 0.334
11 Cl 0.833 0.168 0.666
12 Th 0.017 0.223 0.034